Below is a relaxed NiOsO3 crystal, with properties calculated at the PBE with a Hubbard U level.

Computed properties:
The total energy comes out at -28.75 eV/cell. As for the calculated volume: 56 Å³ per cell. Its total magnetization is 0.8 μB/f.u.

Cell and atoms, written as CIF:
```
data_NiOsO3
_chemical_formula_sum 'Ni1 Os1 O3'
_cell_length_a 3.820
_cell_length_b 3.820
_cell_length_c 3.820
_cell_angle_alpha 90.00
_cell_angle_beta 90.00
_cell_angle_gamma 90.00
_space_group_name_H-M_alt 'P m -3 m'
_space_group_IT_number 221
_space_group_name_Hall '-P 4 2 3'
loop_
_atom_site_label
_atom_site_fract_x
_atom_site_fract_y
_atom_site_fract_z
Ni1 0.000 0.000 0.000
Os1 0.500 0.500 0.500
O1 0.000 0.500 0.500
```